This record from Alexandria via LeMat-Bulk describes a relaxed structure of Pb3SeS2. The functional is PBE-GGA.

Calculated values
V (Å³/atom): 27.97
Space-group type: C2/c, No. 15
Crystal system: monoclinic
Uncorrected formation energy (meV/atom): -542

Cell lengths 7.4339, 7.4382, 7.4382 Å; angles 120.06, 99.59, 99.59 degrees
Closest atoms and distances in Å follow each position.
Fractional positions:
Pb  0.0018  0.1544  0.3277  4 S 2.97-3.06, 2 Se 3.06-3.10
Pb  0.5018  0.3277  0.1544  4 S 2.97-3.06, 2 Se 3.06-3.10
Pb  0.0000  0.5000  0.0000  4 S 3.03, 2 Se 3.06
Pb  0.9982  0.8456  0.6723  4 S 2.97-3.06, 2 Se 3.06-3.10
Pb  0.5000  0.0000  0.5000  4 S 3.03, 2 Se 3.06
Pb  0.4982  0.6723  0.8456  4 S 2.97-3.06, 2 Se 3.06-3.10
Se  0.2500  0.5807  0.4193  6 Pb 3.06-3.10
Se  0.7500  0.4193  0.5807  6 Pb 3.06-3.10
S  0.2500  0.9156  0.0844  6 Pb 2.97-3.06
S  0.2500  0.2534  0.7466  6 Pb 3.00-3.03
S  0.7500  0.0844  0.9156  6 Pb 2.97-3.06
S  0.7500  0.7466  0.2534  6 Pb 3.00-3.03